Density functional theory data (PBE with a Hubbard U) for crystalline Li2FeF4 at its relaxed geometry.

Cell and atoms, written as POSCAR:
```
Li2FeF4
1.0
7.095 4.096 3.068
-7.095 4.096 3.068
0.000 -8.192 3.068
Li Fe F
12 6 24
Cartesian
-4.104 -3.443 5.221
-5.033 1.832 3.983
-2.846 -0.622 3.883
0.930 -5.275 3.983
-0.884 -2.776 5.322
1.962 -2.153 3.883
-1.962 2.153 5.322
0.884 2.776 3.883
-0.930 5.275 5.221
2.846 0.622 5.322
5.033 -1.832 5.221
4.104 3.443 3.983
-1.112 -3.203 2.370
-2.218 2.565 2.370
-3.330 -0.639 6.834
3.330 0.639 2.370
2.218 -2.565 6.834
1.112 3.203 6.834
-0.207 -5.222 2.390
-2.281 -1.533 2.358
-4.419 2.790 2.390
-2.297 -3.949 4.291
-4.569 0.014 4.914
-2.382 1.185 3.759
0.165 -2.656 3.759
-4.626 -2.432 6.815
-0.187 2.742 2.358
-2.217 -1.471 5.446
2.468 -1.209 2.358
-2.272 3.964 4.291
2.272 -3.964 4.914
-2.468 1.209 6.847
2.217 1.471 3.759
0.187 -2.742 6.847
4.626 2.432 2.390
-0.165 2.656 5.446
2.382 -1.185 5.446
4.569 -0.014 4.291
2.297 3.949 4.914
4.419 -2.790 6.815
2.281 1.533 6.847
0.207 5.222 6.815
```

Computed properties:
Density ... 2714 kg/m³
E ... -5.115 eV per atom
Volume ... 535.0 Å³ per cell
Total magnetization ... 24.00 Bohr magnetons per cell